# Pr4IrAuBr2

A geometry-optimized Pr4IrAuBr2 structure (PBE-GGA, Alexandria via LeMat-Bulk).

```
8
Lattice="-1.2499 2.2609 -3.3888 -3.2791 -6.0591 -2.8331 -5.5086 3.9092 4.6400" Properties=species:S:1:pos:R:3 pbc="T T T"
Pr -2.4622 0.5438 -1.4081
Pr -7.5755 -0.4328 -0.1737
Pr -5.1878 1.6407 3.0082
Pr -3.5999 -3.7907 -1.2013
Ir 0.0000 0.0000 0.0000
Au -2.2645 -1.8991 -3.1109
Br -3.3793 3.0851 0.6256
Br -4.3939 -1.0750 0.9035
```

Computed properties:
N(E_F) in states/eV/atom: 0.87
Energy relative to the elements, uncorrected in eV/atom: -1.04
Final energy in eV/atom: -5.36

---

# Rb2IrAuBr6

A geometry-optimized Rb2IrAuBr6 structure (PBE-GGA, Alexandria via LeMat-Bulk).

```
10
Lattice="7.5727 0.0000 0.0000 0.0000 7.5727 0.0000 3.7864 3.7864 5.3658" Properties=species:S:1:pos:R:3 pbc="T T T"
Ir 3.7864 3.7864 0.0000
Au 0.0000 0.0000 0.0000
Br 3.7864 3.7864 2.5449
Br 7.5727 7.5727 2.8208
Br 1.9865 1.9865 0.0000
Br 5.5863 5.5863 0.0000
Br 5.5863 1.9865 0.0000
Br 1.9865 5.5863 0.0000
Rb 7.5727 3.7864 2.6829
Rb 3.7864 7.5727 2.6829
```

Computed properties:
N(E_F) in states/eV/atom: 0.65
Energy relative to the elements, uncorrected in eV/atom: -0.73
Final energy in eV/atom: -3.14

---

# IrAuSe2Br

A geometry-optimized IrAuSe2Br structure (PBE-GGA, Alexandria via LeMat-Bulk).

```
5
Lattice="4.8540 0.0000 0.0000 0.0000 4.8540 0.0000 0.0000 0.0000 5.2341" Properties=species:S:1:pos:R:3 pbc="T T T"
Ir 0.0000 0.0000 0.0000
Au 2.4270 2.4270 2.6171
Se 0.0000 2.4270 0.0000
Se 2.4270 0.0000 0.0000
Br 0.0000 0.0000 2.6171
```

Computed properties:
N(E_F) in states/eV/atom: 1.14
Energy relative to the elements, uncorrected in eV/atom: 0.63
Final energy in eV/atom: -3.52

---

# IrAuSeBr2

A geometry-optimized IrAuSeBr2 structure (PBE-GGA, Alexandria via LeMat-Bulk).

```
5
Lattice="5.2669 0.0000 0.0000 0.0000 5.2669 0.0000 0.0000 0.0000 4.6627" Properties=species:S:1:pos:R:3 pbc="T T T"
Ir 0.0000 0.0000 0.0000
Au 2.6335 2.6335 2.3313
Se 0.0000 0.0000 2.3313
Br 0.0000 2.6335 0.0000
Br 2.6335 0.0000 0.0000
```

Computed properties:
N(E_F) in states/eV/atom: 0.83
Energy relative to the elements, uncorrected in eV/atom: 0.55
Final energy in eV/atom: -3.24

---

# Sm6Ir2AuBr3

A geometry-optimized Sm6Ir2AuBr3 structure (PBE-GGA, Alexandria via LeMat-Bulk).

```
12
Lattice="-4.3281 4.3801 3.8023 -0.2815 -7.1576 1.0320 6.9191 1.4996 3.8612" Properties=species:S:1:pos:R:3 pbc="T T T"
Sm 1.3454 1.1271 7.2508
Sm -1.9250 -1.6859 4.2093
Sm 0.9641 -2.4050 1.4448
Sm 2.7690 -2.9320 6.2762
Sm 4.2345 0.4080 4.4862
Sm -0.4595 1.6541 2.4194
Ir -1.6302 -3.3123 1.9553
Ir -2.9795 0.5348 2.8790
Au 0.0000 0.0000 0.0000
Br 2.4959 -4.4628 3.4297
Br -0.1864 3.1849 5.2659
Br 1.1547 -0.6389 4.3478
```

Computed properties:
N(E_F) in states/eV/atom: 0.64
Energy relative to the elements, uncorrected in eV/atom: -1.08
Final energy in eV/atom: -5.61

---

# YIrAu2Br

A geometry-optimized YIrAu2Br structure (PBE-GGA, Alexandria via LeMat-Bulk).

```
5
Lattice="5.0145 0.0000 0.0000 0.0000 4.7651 0.0000 0.0000 0.0000 5.0145" Properties=species:S:1:pos:R:3 pbc="T T T"
Y 2.5072 2.3825 2.5072
Ir 0.0000 2.3825 0.0000
Au 0.0000 0.0000 2.5072
Au 2.5072 0.0000 0.0000
Br 0.0000 0.0000 0.0000
```

Computed properties:
N(E_F) in states/eV/atom: 0.89
Energy relative to the elements, uncorrected in eV/atom: 0.74
Final energy in eV/atom: -3.97

---

# K3AuBr6

A geometry-optimized K3AuBr6 structure (PBE-GGA, Alexandria via LeMat-Bulk).

```
20
Lattice="5.1093 0.0000 -0.1940 0.0000 8.2049 0.0000 -0.0923 0.0000 17.7404" Properties=species:S:1:pos:R:3 pbc="T T T"
K 2.3084 1.2529 13.8283
K 2.5546 4.1024 -0.0970
K 2.7086 6.9520 3.7180
K 4.9092 2.8495 4.8611
K -0.0462 0.0000 8.8702
K 0.1078 5.3553 12.6853
Au 2.5085 4.1024 8.7732
Au 0.0000 0.0000 0.0000
Br 1.2906 6.9473 16.0663
Br 2.5205 6.1193 10.2263
Br 2.2678 3.7530 3.2000
Br 2.7492 4.4519 14.3464
Br 2.4965 2.0856 7.3200
Br 3.7264 1.2576 1.4801
Br 3.8914 5.3600 7.0990
Br 0.0120 6.1880 1.4532
Br 4.7763 0.3495 11.9731
Br 0.2407 7.8554 5.5732
Br 5.0050 2.0168 16.0932
Br 1.1256 2.8448 10.4473
```

Computed properties:
Energy relative to the elements, uncorrected in eV/atom: -1.11
Final energy in eV/atom: -2.77

---

# K2AuBr

A geometry-optimized K2AuBr structure (PBE-GGA, Alexandria via LeMat-Bulk).

```
4
Lattice="-4.7036 -4.5269 1.1317 -1.8785 -4.6980 4.2774 -2.8063 3.5998 2.7162" Properties=species:S:1:pos:R:3 pbc="T T T"
K -6.8985 -8.7243 5.7206
K -6.7263 -4.7214 5.7838
Au -4.9750 -2.2614 4.3449
Br -2.0648 -1.9554 1.7479
```

Computed properties:
N(E_F) in states/eV/atom: 0.00
Energy relative to the elements, uncorrected in eV/atom: -0.96
Final energy in eV/atom: -2.75

---

# K4AuBr

A geometry-optimized K4AuBr structure (PBE-GGA, Alexandria via LeMat-Bulk).

```
6
Lattice="0.0000 5.1548 5.1548 5.1548 0.0000 5.1548 5.1548 5.1548 0.0000" Properties=species:S:1:pos:R:3 pbc="T T T"
K 3.8673 6.4424 6.4424
K 6.4424 6.4424 3.8673
K 6.4424 3.8673 6.4424
K 3.8673 3.8673 3.8673
Au 7.7323 7.7323 7.7323
Br 0.0000 0.0000 0.0000
```

Computed properties:
N(E_F) in states/eV/atom: 0.03
Energy relative to the elements, uncorrected in eV/atom: -0.17
Final energy in eV/atom: -1.73

---

# K4AuBr3

A geometry-optimized K4AuBr3 structure (PBE-GGA, Alexandria via LeMat-Bulk).

```
8
Lattice="4.7310 0.0000 0.0000 0.0000 7.8033 -2.6625 0.0000 -0.0665 8.2448" Properties=species:S:1:pos:R:3 pbc="T T T"
K 0.0000 1.9697 1.4212
K 2.3655 5.8217 0.0840
K 0.0000 5.7671 4.1611
K 2.3655 1.9151 5.4983
Au 2.3655 0.0000 0.0000
Br 0.0000 -0.0333 4.1224
Br 2.3655 3.8684 2.7911
Br 0.0000 3.9017 -1.3313
```

Computed properties:
N(E_F) in states/eV/atom: 0.00
Energy relative to the elements, uncorrected in eV/atom: -1.37
Final energy in eV/atom: -2.96

---

# K2AuBr

A geometry-optimized K2AuBr structure (PBE-GGA, Alexandria via LeMat-Bulk).

```
4
Lattice="-0.6591 6.1308 2.7546 -4.6431 -0.8105 0.6929 0.9604 -1.8287 4.2998" Properties=species:S:1:pos:R:3 pbc="T T T"
K -3.2211 -2.3101 4.3706
K -1.7110 2.0765 3.2478
Au -1.3812 -0.9902 1.8732
Br -3.5524 0.7566 5.7448
```

Computed properties:
N(E_F) in states/eV/atom: 0.00
Energy relative to the elements, uncorrected in eV/atom: -1.00
Final energy in eV/atom: -2.78

---

# K6AuBr5

A geometry-optimized K6AuBr5 structure (PBE-GGA, Alexandria via LeMat-Bulk).

```
12
Lattice="-7.7826 -2.1656 -1.5543 -4.4617 0.6803 6.8738 -3.7750 7.0882 1.7667" Properties=species:S:1:pos:R:3 pbc="T T T"
K -7.4687 0.8309 0.0092
K -5.8185 2.2414 4.1823
K -3.0921 -0.3734 1.3500
K -9.1522 -1.1118 3.9695
K -10.2009 3.3615 2.9040
K -8.5507 4.7720 7.0770
Au 0.0000 0.0000 0.0000
Br -7.1538 3.7657 1.5439
Br -2.7459 2.5907 2.8799
Br -6.1222 -0.7426 2.6598
Br -5.4909 5.1778 5.7607
Br -8.8656 1.8372 5.5423
```

Computed properties:
N(E_F) in states/eV/atom: 0.00
Energy relative to the elements, uncorrected in eV/atom: -1.50
Final energy in eV/atom: -3.02